V2CrNi6: optimized geometry, PBE.

Summary:
DFT formation energy in meV per atom: -131

Unit cell a=3.520 b=4.419 c=7.517 alpha=74.17 beta=76.46 gamma=66.53
Site moments in Bohr magnetons follow the coordinates.
Fractional coordinates of all 9 atoms:
V1 0.332 0.610 0.726  -0.12
V2 0.668 0.390 0.274  -0.12
Cr1 0.000 0.500 0.500  0.77
Ni1 0.665 0.725 0.945  0.09
Ni2 0.335 0.275 0.055  0.09
Ni3 0.999 0.833 0.170  0.11
Ni4 0.334 0.940 0.392  0.09
Ni5 0.001 0.167 0.830  0.11
Ni6 0.666 0.060 0.608  0.09